## FePRu2 (PBE-GGA)

Data for a geometry-optimized FePRu2 structure.

The value obtained for the formation energy is -0.1328 eV/atom. For the total magnetization, the calculation gives 3.5 μB per formula unit. Its density of states at the Fermi level is 4.71 states/eV per cell.

Unit cell a=2.899 b=2.899 c=6.144 alpha=90.00 beta=90.00 gamma=90.00
Fractional positions:
Fe (0.000, 0.000, 0.000)
P (0.000, 0.000, 0.500)
Ru (0.500, 0.500, 0.273)
Ru (0.500, 0.500, 0.727)



## Pm4Nd4Tm (PBE-GGA)

Data for a geometry-optimized Pm4Nd4Tm structure.

The value obtained for the formation energy is 0.0151 eV/atom. For the total magnetization, the calculation gives 0.0 μB per formula unit. Its density of states at the Fermi level is 13.87 states/eV per cell.

Unit cell a=6.313 b=6.313 c=10.941 alpha=106.77 beta=106.77 gamma=48.25
Fractional positions:
Pm (0.165, 0.165, 0.221)
Pm (0.167, 0.167, 0.555)
Pm (0.833, 0.833, 0.445)
Pm (0.835, 0.835, 0.779)
Nd (0.168, 0.168, 0.891)
Nd (0.499, 0.499, 0.331)
Nd (0.501, 0.501, 0.669)
Nd (0.832, 0.832, 0.109)
Tm (0.500, 0.500, 0.000)



## KNiP (PBE-GGA)

Data for a geometry-optimized KNiP structure.

The value obtained for the formation energy is -0.4501 eV/atom. For the total magnetization, the calculation gives 0.0 μB per formula unit. Its density of states at the Fermi level is 2.78 states/eV per cell.

Unit cell a=4.036 b=4.040 c=10.020 alpha=91.27 beta=91.93 gamma=100.70
Fractional positions:
K (0.000, 0.000, 0.000)
K (0.471, 0.459, 0.577)
Ni (0.029, 0.435, 0.289)
Ni (0.440, 0.027, 0.289)
P (0.536, 0.536, 0.201)
P (0.933, 0.925, 0.377)



## PmHfCoOs (PBE-GGA)

Data for a geometry-optimized PmHfCoOs structure.

The value obtained for the formation energy is -0.1482 eV/atom. For the total magnetization, the calculation gives 0.5 μB per formula unit. Its density of states at the Fermi level is 1.54 states/eV per cell.

Unit cell a=4.722 b=4.722 c=4.722 alpha=60.00 beta=60.00 gamma=60.00
Fractional positions:
Pm (0.000, 0.000, 0.000)
Hf (0.500, 0.500, 0.500)
Co (0.750, 0.750, 0.750)
Os (0.250, 0.250, 0.250)



What is the formula in the fourth record?
PmHfCoOs